(1)
Here is a relaxed structure of CaTi2HgW from Alexandria. Energies are from PBE-GGA.

Results
Its formation energy is 2108 meV per atom. The space-group type is P4/mmm, No. 123.

a = 4.471 Å, b = 4.471 Å, c = 5.090 Å
α = 90.00°, β = 90.00°, γ = 90.00°
Fractional positions:
Ca 0.000 0.000 0.000
Ti 0.000 0.500 0.000
Ti 0.500 0.000 0.000
Hg 0.000 0.000 0.500
W 0.500 0.500 0.500



(2)
Here is a relaxed structure of Sr2MnPb from Alexandria. Energies are from PBE-GGA.

Results
Its formation energy is 292 meV per atom. The space-group type is I-42d, No. 122.

a = 11.362 Å, b = 11.362 Å, c = 5.169 Å
α = 90.00°, β = 90.00°, γ = 90.00°
Fractional positions:
Sr 0.085 0.250 0.125
Sr 0.250 0.585 0.375
Sr 0.250 0.915 0.875
Sr 0.415 0.250 0.625
Sr 0.585 0.750 0.625
Sr 0.750 0.085 0.875
Sr 0.750 0.415 0.375
Sr 0.915 0.750 0.125
Mn 0.000 0.000 0.000
Mn 0.000 0.500 0.250
Mn 0.500 0.000 0.750
Mn 0.500 0.500 0.500
Pb 0.000 0.000 0.500
Pb 0.000 0.500 0.750
Pb 0.500 0.000 0.250
Pb 0.500 0.500 0.000



no.,M_tot (μB per atom)
1,0.000
2,0.741